Record 1
This record from the Alexandria database describes a geometry-optimized Te3Pd2Se structure. The functional is GGA-PBE.

Properties
crystal system = monoclinic
VASP energy = -4.148 eV/atom
space group = C2/m

Cell lengths 8.005, 8.005, 6.609 Å; angles 65.25, 65.27, 61.44 degrees
Sites, in units of the cell vectors:
Te 0.222 0.724 0.763
Te 0.724 0.222 0.763
Te 0.224 0.225 0.751
Te 0.276 0.778 0.237
Te 0.778 0.276 0.237
Te 0.776 0.775 0.249
Pd 0.000 0.000 0.000
Pd 0.500 0.000 0.000
Pd 0.500 0.500 0.000
Pd 0.000 0.500 0.000
Se 0.286 0.285 0.201
Se 0.714 0.715 0.799

***

Record 2
This record from the Alexandria database describes a geometry-optimized TePd4Se2 structure. The functional is GGA-PBE.

Properties
crystal system = tetragonal
space group = I4/mmm
offset from the most stable computed form = 311 kJ/mol of formula units

Cell lengths 5.033, 5.033, 7.391 Å; angles 70.09, 70.09, 90.00 degrees
Sites, in units of the cell vectors:
Te 0.000 0.000 0.000
Se 0.384 0.384 0.232
Se 0.616 0.616 0.768
Pd 0.200 0.200 0.600
Pd 0.800 0.800 0.400
Pd 0.000 0.500 0.000
Pd 0.500 0.000 0.000

***

Fermi-level density of states for every record listed, in sequence, given in states/eV/f.u.: 2.48; 5.61.
Magnetization for every record listed, in sequence, given in Bohr magnetons per cell: 0.0; 0.0.